1.
Here is an optimized crystal structure of HoMgCu from OQMD. Energies are from PBE-GGA.

Computed properties:
Its space-group type is F-43m, No. 216. For the calculated volume, the calculation gives 25.1 Å³/atom. For the total energy, the calculation gives -2.723 eV per atom.

a = 4.7378 Å, b = 4.7378 Å, c = 4.7378 Å
α = 60.00°, β = 60.00°, γ = 60.00°
Last column: nearest neighbours and their distance in Å.
Fractional coordinates of all 3 atoms:
1 Ho 0.0000 0.0000 0.0000  4 Mg 2.90, 4 Cu 2.90
2 Cu 0.2500 0.2500 0.2500  4 Ho 2.90
3 Mg 0.7500 0.7500 0.7500  4 Ho 2.90

---

2.
Here is an optimized crystal structure of PrHoMg4Cu2 from OQMD. Energies are from PBE-GGA.

Computed properties:
Its space-group type is Amm2, No. 38. For the calculated volume, the calculation gives 31.7 Å³/atom. For the total energy, the calculation gives -2.507 eV per atom.

a = 7.7751 Å, b = 8.3732 Å, c = 8.3732 Å
α = 27.77°, β = 90.00°, γ = 90.00°
Last column: nearest neighbours and their distance in Å.
Fractional coordinates of all 8 atoms:
1 Mg 0.2956 0.4358 0.4358  1 Mg 3.18, 2 Ho 3.42, 2 Pr 3.49
2 Mg 0.7044 0.4358 0.4358  1 Mg 3.18, 2 Ho 3.42, 2 Pr 3.49
3 Ho 0.0000 0.8413 0.8413  3 Cu 2.71-2.95
4 Cu 0.0000 0.6600 0.6600  2 Cu 2.31, 2 Mg 2.48
5 Cu 0.0000 0.2295 0.2295  2 Cu 2.31
6 Mg 0.3168 0.6788 0.6788  1 Cu 2.48
7 Mg 0.6832 0.6788 0.6788  1 Cu 2.48
8 Pr 0.0000 0.0400 0.0400  3 Cu 2.80-3.08

---

3.
Here is an optimized crystal structure of HoMgCuSe2S from OQMD. Energies are from PBE-GGA.

Computed properties:
Its space-group type is Cmcm, No. 63. For the calculated volume, the calculation gives 20.7 Å³/atom. For the total energy, the calculation gives -4.670 eV per atom.

a = 6.5641 Å, b = 6.5641 Å, c = 10.3530 Å
α = 90.00°, β = 90.00°, γ = 146.24°
Last column: nearest neighbours and their distance in Å.
Fractional coordinates of all 12 atoms:
1 Ho 0.0000 0.0000 0.0000  4 Se 2.81, 2 S 2.85
2 Se 0.6512 0.3488 0.9201  1 Cu 2.45
3 Se 0.3488 0.6512 0.4201  1 Cu 2.45
4 S 0.9046 0.0954 0.7500  2 Cu 2.37
5 Se 0.3488 0.6512 0.0799  1 Cu 2.45
6 Cu 0.5162 0.4838 0.7500  2 S 2.37, 2 Se 2.45
7 Mg 0.2498 0.7502 0.7500  2 S 2.72, 4 Se 2.88
8 Cu 0.4838 0.5162 0.2500  2 S 2.37, 2 Se 2.45
9 Ho 0.0000 0.0000 0.5000  4 Se 2.81, 2 S 2.85
10 Mg 0.7502 0.2498 0.2500  2 S 2.72, 4 Se 2.88
11 S 0.0954 0.9046 0.2500  2 Cu 2.37
12 Se 0.6512 0.3488 0.5799  1 Cu 2.45

---

4.
Here is an optimized crystal structure of HoMgCuSeS2 from OQMD. Energies are from PBE-GGA.

Computed properties:
Its space-group type is Cmcm, No. 63. For the calculated volume, the calculation gives 20.2 Å³/atom. For the total energy, the calculation gives -4.845 eV per atom.

a = 6.5023 Å, b = 6.5023 Å, c = 10.4470 Å
α = 90.00°, β = 90.00°, γ = 146.71°
Last column: nearest neighbours and their distance in Å.
Fractional coordinates of all 12 atoms:
1 Se 0.8915 0.1085 0.7500  2 Cu 2.48
2 Se 0.1085 0.8915 0.2500  2 Cu 2.48
3 S 0.6420 0.3580 0.9180  1 Cu 2.30
4 Mg 0.7813 0.2187 0.2500  4 S 2.73, 2 Se 2.85
5 Mg 0.2187 0.7813 0.7500  4 S 2.73, 2 Se 2.85
6 Ho 0.0000 0.0000 0.0000  4 S 2.71, 2 Se 2.94
7 Cu 0.4771 0.5229 0.2500  2 S 2.30, 2 Se 2.48
8 Ho 0.0000 0.0000 0.5000  4 S 2.71, 2 Se 2.94
9 Cu 0.5229 0.4771 0.7500  2 S 2.30, 2 Se 2.48
10 S 0.6420 0.3580 0.5820  1 Cu 2.30
11 S 0.3580 0.6420 0.0820  1 Cu 2.30
12 S 0.3580 0.6420 0.4180  1 Cu 2.30